# PBE Rb2Li2UO4, optimized geometry
# **Final energy**: -55.96 eV/cell
# **Total moment**: 2.00 μB per formula unit
# **Space group**: No. 12
# **Energy relative to the elements, uncorrected**: -2.119 eV/atom
# **Theoretical density**: 5687 kg/m³
data_Rb2Li2UO4
_cell_length_a 6.575
_cell_length_b 6.575
_cell_length_c 6.795
_cell_angle_alpha 110.51
_cell_angle_beta 110.51
_cell_angle_gamma 31.31
_space_group_name_H-M_alt 'P 1'
_space_group_IT_number 1
loop_
_space_group_symop_operation_xyz
'x,y,z'
loop_
_atom_site_label
_atom_site_fract_x
_atom_site_fract_y
_atom_site_fract_z
Rb1 0.142 0.142 0.073
Rb2 0.858 0.858 0.927
Li1 0.319 0.319 0.522
Li2 0.681 0.681 0.478
U1 0.000 0.000 0.500
O1 0.188 0.188 0.622
O2 0.483 0.483 0.707
O3 0.517 0.517 0.293
O4 0.812 0.812 0.378



# PBE Rb3Li2UO6, optimized geometry
# **Final energy**: -72.01 eV/cell
# **Total moment**: 1.06 μB per formula unit
# **Space group**: No. 12
# **Energy relative to the elements, uncorrected**: -2.020 eV/atom
# **Theoretical density**: 4999 kg/m³
data_Rb3Li2UO6
_cell_length_a 6.226
_cell_length_b 6.226
_cell_length_c 6.451
_cell_angle_alpha 95.91
_cell_angle_beta 95.91
_cell_angle_gamma 124.59
_space_group_name_H-M_alt 'P 1'
_space_group_IT_number 1
loop_
_space_group_symop_operation_xyz
'x,y,z'
loop_
_atom_site_label
_atom_site_fract_x
_atom_site_fract_y
_atom_site_fract_z
Rb1 0.000 0.000 0.000
Rb2 0.313 0.687 0.000
Rb3 0.687 0.313 0.000
Li1 0.216 0.784 0.500
Li2 0.784 0.216 0.500
U1 0.500 0.500 0.500
O1 0.134 0.423 0.348
O2 0.337 0.337 0.741
O3 0.423 0.134 0.348
O4 0.577 0.866 0.652
O5 0.663 0.663 0.259
O6 0.866 0.577 0.652



# PBE RbLi4U3O12, optimized geometry
# **Final energy**: -153.63 eV/cell
# **Total moment**: 0.00 μB per formula unit
# **Space group**: No. 155
# **Energy relative to the elements, uncorrected**: -2.582 eV/atom
# **Theoretical density**: 5399 kg/m³
data_RbLi4U3O12
_cell_length_a 7.188
_cell_length_b 7.188
_cell_length_c 7.188
_cell_angle_alpha 106.50
_cell_angle_beta 106.50
_cell_angle_gamma 106.50
_space_group_name_H-M_alt 'P 1'
_space_group_IT_number 1
loop_
_space_group_symop_operation_xyz
'x,y,z'
loop_
_atom_site_label
_atom_site_fract_x
_atom_site_fract_y
_atom_site_fract_z
Rb1 0.000 0.000 0.000
Li1 0.061 0.500 0.939
Li2 0.500 0.500 0.500
Li3 0.500 0.939 0.061
Li4 0.939 0.061 0.500
U1 0.000 0.557 0.443
U2 0.443 0.000 0.557
U3 0.557 0.443 0.000
O1 0.038 0.628 0.738
O2 0.110 0.890 0.500
O3 0.262 0.372 0.962
O4 0.334 0.666 0.500
O5 0.372 0.962 0.262
O6 0.500 0.110 0.890
O7 0.500 0.334 0.666
O8 0.628 0.738 0.038
O9 0.666 0.500 0.334
O10 0.738 0.038 0.628
O11 0.890 0.500 0.110
O12 0.962 0.262 0.372



# PBE Rb2LiUO4, optimized geometry
# **Final energy**: -104.41 eV/cell
# **Total moment**: 1.00 μB per formula unit
# **Space group**: No. 82
# **Energy relative to the elements, uncorrected**: -2.154 eV/atom
# **Theoretical density**: 5071 kg/m³
data_Rb2LiUO4
_cell_length_a 6.268
_cell_length_b 6.268
_cell_length_c 7.999
_cell_angle_alpha 90.00
_cell_angle_beta 90.00
_cell_angle_gamma 90.00
_space_group_name_H-M_alt 'P 1'
_space_group_IT_number 1
loop_
_space_group_symop_operation_xyz
'x,y,z'
loop_
_atom_site_label
_atom_site_fract_x
_atom_site_fract_y
_atom_site_fract_z
Rb1 0.000 0.000 0.000
Rb2 0.000 0.500 0.250
Rb3 0.500 0.000 0.750
Rb4 0.500 0.500 0.500
Li1 0.000 0.500 0.750
Li2 0.500 0.000 0.250
U1 0.000 0.000 0.500
U2 0.500 0.500 0.000
O1 0.143 0.751 0.620
O2 0.249 0.143 0.380
O3 0.251 0.357 0.880
O4 0.357 0.749 0.120
O5 0.643 0.251 0.120
O6 0.749 0.643 0.880
O7 0.751 0.857 0.380
O8 0.857 0.249 0.620



final energy of number 2 (Rb3Li2UO6)? -72.01 eV/cell